P:
Compound: IrSO
Source: Alexandria via LeMat-Bulk
Functional: PBE
Structure: relaxed

calculated density	8971	kg/m3
space-group type	Cm

a = 6.0269 Å, b = 6.0269 Å, c = 4.5618 Å
α = 91.94°, β = 91.94°, γ = 32.49°
With the nearest neighbours (Å) after each atom.
Element x y z (fractional)
Ir1 0.0000 0.0000 0.0000  2 O 2.18, 2 S 2.25
Ir2 0.6636 0.6636 0.7247  4 S 2.24-2.47
S1 0.2834 0.2834 0.6267  2 O 1.48-1.59
S2 0.6045 0.6045 0.1987  4 Ir 2.25-2.47
O1 0.3229 0.3229 0.3223  1 S 1.48
O2 0.4002 0.4002 0.8218  1 S 1.59



Q:
Compound: IrSO
Source: Alexandria via LeMat-Bulk
Functional: PBE
Structure: relaxed

calculated density	9813	kg/m3
space-group type	Imm2

a = 6.3527 Å, b = 6.3527 Å, c = 6.3527 Å
α = 148.89°, β = 49.96°, γ = 141.92°
With the nearest neighbours (Å) after each atom.
Element x y z (fractional)
Ir1 0.1257 0.0000 0.1257  2 O 2.21, 3 S 2.23-2.47
Ir2 0.8743 0.0000 0.8743  2 O 2.21, 3 S 2.23-2.47
S1 0.1553 0.8248 0.3304  1 O 1.61
S2 0.4944 0.8248 0.6696  1 O 1.61
O1 0.5646 0.1679 0.3966  1 S 1.61
O2 0.7713 0.1679 0.6034  1 S 1.61



R:
Compound: IrSO
Source: Alexandria via LeMat-Bulk
Functional: PBE
Structure: relaxed

calculated density	8291	kg/m3
D(E_F)	0.933	states/eV per atom
space-group type	P3m1

a = 3.3490 Å, b = 3.3490 Å, c = 4.9547 Å
α = 90.00°, β = 90.00°, γ = 120.00°
With the nearest neighbours (Å) after each atom.
Element x y z (fractional)
Ir1 0.0000 0.0000 0.0000  3 O 2.15, 3 S 2.29
S1 0.6667 0.3333 0.2487  3 Ir 2.29
O1 0.3333 0.6667 0.8113  3 Ir 2.15



P is preferred energetically. Next in line: 2.1 kJ/mol of atoms higher.



P:
Compound: IrSO
Source: Alexandria via LeMat-Bulk
Functional: PBE
Structure: relaxed

calculated density	9075	kg/m3
D(E_F)	0.154	states/eV per atom
space-group type	Cm

a = 5.6474 Å, b = 5.6474 Å, c = 5.0953 Å
α = 106.46°, β = 106.46°, γ = 34.51°
With the nearest neighbours (Å) after each atom.
Element x y z (fractional)
Ir1 0.0000 0.0000 0.0000  1 O 2.03, 2 S 2.25
Ir2 0.7017 0.7017 0.6736  3 O 2.08-2.14, 1 S 2.24
S1 0.3505 0.3505 0.6531  4 Ir 2.34-2.62
S2 0.6300 0.6300 0.2126  1 O 1.60
O1 0.0809 0.0809 0.6884  3 Ir 2.03-2.14
O2 0.7532 0.7532 0.1004  1 S 1.60



Q:
Compound: IrSO
Source: Alexandria via LeMat-Bulk
Functional: PBE
Structure: relaxed

calculated density	9142	kg/m3
D(E_F)	0.685	states/eV per atom
space-group type	Pm

a = 4.9579 Å, b = 3.4367 Å, c = 5.1706 Å
α = 90.00°, β = 97.78°, γ = 90.00°
With the nearest neighbours (Å) after each atom.
Element x y z (fractional)
Ir1 0.0000 0.0000 0.0000  1 O 2.01, 2 S 2.23
Ir2 0.4081 0.5000 0.5225  3 O 2.16, 3 S 2.24-2.28
S1 0.2588 0.5000 0.9116  1 O 1.59
S2 0.7086 0.0000 0.6161  3 Ir 2.28-2.29
O1 0.1717 0.0000 0.3759  3 Ir 2.01-2.16
O2 0.5157 0.5000 0.1322  1 S 1.59



Q is preferred energetically. Next in line: 9.5 kJ/mol of atoms higher.



P:
Compound: IrSO
Source: Alexandria via LeMat-Bulk
Functional: PBE
Structure: relaxed

calculated density	9078	kg/m3
D(E_F)	0.516	states/eV per atom
space-group type	Pm

a = 5.0938 Å, b = 3.3270 Å, c = 5.4584 Å
α = 90.00°, β = 108.14°, γ = 90.00°
With the nearest neighbours (Å) after each atom.
Element x y z (fractional)
Ir1 0.0000 0.0000 0.0000  2 O 2.16, 3 S 2.25-2.27
Ir2 0.4810 0.5000 0.3391  2 O 2.06-2.17, 1 S 2.26
S1 0.6056 0.0000 0.6589  3 Ir 2.27-2.35
S2 0.8584 0.5000 0.2056  1 O 1.57
O1 0.1127 0.5000 0.4590  1 S 1.57
O2 0.2515 0.5000 0.9543  3 Ir 2.06-2.16



Q:
Compound: IrSO
Source: Alexandria via LeMat-Bulk
Functional: PBE
Structure: relaxed

calculated density	8846	kg/m3
D(E_F)	0.009	states/eV per atom
space-group type	Cm

a = 6.7719 Å, b = 6.7719 Å, c = 4.1077 Å
α = 98.95°, β = 98.95°, γ = 29.03°
With the nearest neighbours (Å) after each atom.
Element x y z (fractional)
Ir1 0.0000 0.0000 0.0000  1 O 1.86
Ir2 0.7100 0.7100 0.6324  1 O 2.01, 2 S 2.25
S1 0.1681 0.1681 0.9460  1 O 1.63
S2 0.5364 0.5364 0.3762  3 Ir 2.29-2.35
O1 0.2441 0.2441 0.3027  1 S 1.63
O2 0.8631 0.8631 0.7951  2 Ir 1.86-2.01



Q is preferred energetically. Next in line: 9.9 kJ/mol of atoms higher.



P:
Compound: Ir2S2O
Source: Alexandria via LeMat-Bulk
Functional: PBE
Structure: relaxed

calculated density	10613	kg/m3
D(E_F)	0.724	states/eV per atom
space-group type	P4/mbm

a = 6.5547 Å, b = 6.5547 Å, c = 3.3836 Å
α = 90.00°, β = 90.00°, γ = 90.00°
With the nearest neighbours (Å) after each atom.
Element x y z (fractional)
Ir1 0.1952 0.3048 0.0000  2 S 2.24, 2 O 2.37
Ir2 0.3048 0.8048 0.0000  2 S 2.24, 2 O 2.37
Ir3 0.6952 0.1952 0.0000  2 S 2.24, 2 O 2.37
Ir4 0.8048 0.6952 0.0000  2 S 2.24, 2 O 2.37
S1 0.1472 0.6472 0.5000  2 Ir 2.24
S2 0.3528 0.1472 0.5000  2 Ir 2.24
S3 0.6472 0.8528 0.5000  2 Ir 2.24
S4 0.8528 0.3528 0.5000  2 Ir 2.24
O1 0.0000 0.0000 0.0000  4 Ir 2.37
O2 0.5000 0.5000 0.0000  4 Ir 2.37



Q:
Compound: Ir2S2O
Source: Alexandria via LeMat-Bulk
Functional: PBE
Structure: relaxed

calculated density	10346	kg/m3
D(E_F)	0.966	states/eV per atom
space-group type	I4/mmm

a = 4.7043 Å, b = 4.7043 Å, c = 4.7043 Å
α = 119.13°, β = 119.13°, γ = 91.52°
With the nearest neighbours (Å) after each atom.
Element x y z (fractional)
Ir1 0.1862 0.1862 0.0000  1 O 2.06
Ir2 0.8138 0.8138 0.0000  1 O 2.06
S1 0.2500 0.7500 0.5000  4 Ir 2.42
S2 0.7500 0.2500 0.5000  4 Ir 2.42
O1 0.5000 0.5000 0.0000  2 Ir 2.06



Q is preferred energetically. Next in line: 27.4 kJ/mol of atoms higher.



P:
Compound: SbIr3O
Source: Alexandria via LeMat-Bulk
Functional: PBE
Structure: relaxed

calculated density	15288	kg/m3
D(E_F)	1.569	states/eV per atom
space-group type	Pm-3m

a = 4.2653 Å, b = 4.2653 Å, c = 4.2653 Å
α = 90.00°, β = 90.00°, γ = 90.00°
With the nearest neighbours (Å) after each atom.
Element x y z (fractional)
Sb1 0.0000 0.0000 0.0000  12 Ir 3.02
Ir1 0.0000 0.5000 0.5000  2 O 2.13
Ir2 0.5000 0.0000 0.5000  2 O 2.13
Ir3 0.5000 0.5000 0.0000  2 O 2.13
O1 0.5000 0.5000 0.5000  6 Ir 2.13



Q:
Compound: SbIr3O
Source: Alexandria via LeMat-Bulk
Functional: PBE
Structure: relaxed

calculated density	10075	kg/m3
D(E_F)	1.308	states/eV per atom
space-group type	Pm-3m

a = 4.9014 Å, b = 4.9014 Å, c = 4.9014 Å
α = 90.00°, β = 90.00°, γ = 90.00°
With the nearest neighbours (Å) after each atom.
Element x y z (fractional)
Sb1 0.0000 0.0000 0.0000  6 Ir 2.45
Ir1 0.0000 0.0000 0.5000  2 Sb 2.45
Ir2 0.0000 0.5000 0.0000  2 Sb 2.45
Ir3 0.5000 0.0000 0.0000  2 Sb 2.45
O1 0.5000 0.5000 0.5000  12 Ir 3.47



P is preferred energetically. Next in line: 145.9 kJ/mol of atoms higher.



P:
Compound: Sb3IrO
Source: Alexandria via LeMat-Bulk
Functional: PBE
Structure: relaxed

calculated density	6986	kg/m3
D(E_F)	1.225	states/eV per atom
space-group type	Pm-3m

a = 5.1465 Å, b = 5.1465 Å, c = 5.1465 Å
α = 90.00°, β = 90.00°, γ = 90.00°
With the nearest neighbours (Å) after each atom.
Element x y z (fractional)
Sb1 0.0000 0.0000 0.5000  2 Ir 2.57
Sb2 0.0000 0.5000 0.0000  2 Ir 2.57
Sb3 0.5000 0.0000 0.0000  2 Ir 2.57
Ir1 0.0000 0.0000 0.0000  6 Sb 2.57
O1 0.5000 0.5000 0.5000  12 Sb 3.64



Q:
Compound: Sb3IrO
Source: Alexandria via LeMat-Bulk
Functional: PBE
Structure: relaxed

calculated density	9561	kg/m3
D(E_F)	0.433	states/eV per atom
space-group type	Pm-3m

a = 4.6354 Å, b = 4.6354 Å, c = 4.6354 Å
α = 90.00°, β = 90.00°, γ = 90.00°
With the nearest neighbours (Å) after each atom.
Element x y z (fractional)
Sb1 0.0000 0.0000 0.5000  2 O 2.32
Sb2 0.0000 0.5000 0.0000  2 O 2.32
Sb3 0.5000 0.0000 0.0000  2 O 2.32
Ir1 0.5000 0.5000 0.5000  12 Sb 3.28
O1 0.0000 0.0000 0.0000  6 Sb 2.32



Q is preferred energetically. Next in line: 59.1 kJ/mol of atoms higher.